# 1
# RbGd2Ho | the Alexandria database | PBE-GGA | relaxed
data_RbGd2Ho
_chemical_formula_sum 'Rb1 Gd2 Ho1'
_cell_length_a 13.498
_cell_length_b 13.498
_cell_length_c 13.498
_cell_angle_alpha 15.48
_cell_angle_beta 15.48
_cell_angle_gamma 15.48
_space_group_name_H-M_alt 'P 1'
_space_group_IT_number 1
_space_group_name_Hall 'P 1'
loop_
_atom_site_label
_atom_site_fract_x
_atom_site_fract_y
_atom_site_fract_z
Rb1 0.000 0.000 0.000
Gd1 0.097 0.097 0.097
Gd2 0.903 0.903 0.903
Ho1 0.500 0.500 0.500
# N(E_F) in states/eV/cell: 6.248
# Mass density in g cm⁻³: 6.1
# Final energy in eV/atom: -8.1513
# Formation energy from the elements in meV per atom: 275
# Size of the total moment in μB per cell: 15.04

---

# 2
# TaTlZn2 | the Alexandria database | PBE-GGA | relaxed
data_TaTlZn2
_chemical_formula_sum 'Ta1 Tl1 Zn2'
_cell_length_a 5.367
_cell_length_b 5.367
_cell_length_c 5.367
_cell_angle_alpha 135.94
_cell_angle_beta 135.94
_cell_angle_gamma 64.07
_space_group_name_H-M_alt 'P 1'
_space_group_IT_number 1
_space_group_name_Hall 'P 1'
loop_
_atom_site_label
_atom_site_fract_x
_atom_site_fract_y
_atom_site_fract_z
Ta1 0.000 0.000 0.000
Tl1 0.500 0.500 0.000
Zn1 0.250 0.750 0.500
Zn2 0.750 0.250 0.500
# N(E_F) in states/eV/cell: 2.860
# Mass density in g cm⁻³: 11.6
# Final energy in eV/atom: -3.7415
# Formation energy from the elements in meV per atom: 450
# Size of the total moment in μB per cell: 0.00

---

# 3
# Ce4IrPt | the Alexandria database | PBE-GGA | relaxed
data_Ce4IrPt
_chemical_formula_sum 'Ce8 Ir2 Pt2'
_cell_length_a 5.847
_cell_length_b 6.290
_cell_length_c 8.398
_cell_angle_alpha 90.00
_cell_angle_beta 108.26
_cell_angle_gamma 90.00
_space_group_name_H-M_alt 'P 1'
_space_group_IT_number 1
_space_group_name_Hall 'P 1'
loop_
_atom_site_label
_atom_site_fract_x
_atom_site_fract_y
_atom_site_fract_z
Ce1 0.175 0.250 0.076
Ce2 0.251 0.750 0.380
Ce3 0.294 0.532 0.739
Ce4 0.294 0.968 0.739
Ce5 0.706 0.032 0.261
Ce6 0.706 0.468 0.261
Ce7 0.749 0.250 0.620
Ce8 0.825 0.750 0.924
Ir1 0.315 0.750 0.070
Ir2 0.685 0.250 0.930
Pt1 0.224 0.250 0.429
Pt2 0.776 0.750 0.571
# N(E_F) in states/eV/cell: 31.119
# Mass density in g cm⁻³: 10.7
# Final energy in eV/atom: -7.0246
# Formation energy from the elements in meV per atom: -585
# Size of the total moment in μB per cell: 3.74

---

# 4
# Cs2ZnAs2 | the Alexandria database | PBE-GGA | relaxed
data_Cs2ZnAs2
_chemical_formula_sum 'Cs2 Zn1 As2'
_cell_length_a 6.644
_cell_length_b 6.644
_cell_length_c 6.644
_cell_angle_alpha 115.52
_cell_angle_beta 115.52
_cell_angle_gamma 97.94
_space_group_name_H-M_alt 'P 1'
_space_group_IT_number 1
_space_group_name_Hall 'P 1'
loop_
_atom_site_label
_atom_site_fract_x
_atom_site_fract_y
_atom_site_fract_z
Cs1 0.250 0.750 0.500
Cs2 0.750 0.250 0.500
Zn1 0.000 0.000 0.000
As1 0.367 0.367 0.000
As2 0.633 0.633 0.000
# N(E_F) in states/eV/cell: 5.427
# Mass density in g cm⁻³: 3.6
# Final energy in eV/atom: -2.4972
# Formation energy from the elements in meV per atom: -41
# Size of the total moment in μB per cell: 0.00

---

# 5
# TaTeSe2 | the Alexandria database | PBE-GGA | relaxed
data_TaTeSe2
_chemical_formula_sum 'Ta1 Te1 Se2'
_cell_length_a 5.081
_cell_length_b 3.729
_cell_length_c 5.818
_cell_angle_alpha 90.00
_cell_angle_beta 106.99
_cell_angle_gamma 90.00
_space_group_name_H-M_alt 'P 1'
_space_group_IT_number 1
_space_group_name_Hall 'P 1'
loop_
_atom_site_label
_atom_site_fract_x
_atom_site_fract_y
_atom_site_fract_z
Ta1 0.000 0.000 0.000
Te1 0.779 0.500 0.627
Se1 0.109 0.500 0.325
Se2 0.477 0.000 0.993
# N(E_F) in states/eV/cell: 1.761
# Uncorrected formation energy in meV per atom: -350
# Mass density in g cm⁻³: 7.3
# Final energy in eV/atom: -5.8407
# Size of the total moment in μB per cell: 0.00

---

# 6
# K2PdSe10 | the Alexandria database | PBE-GGA | relaxed
data_K2PdSe10
_chemical_formula_sum 'K8 Pd4 Se40'
_cell_length_a 13.211
_cell_length_b 13.211
_cell_length_c 13.211
_cell_angle_alpha 102.98
_cell_angle_beta 102.98
_cell_angle_gamma 123.43
_space_group_name_H-M_alt 'P 1'
_space_group_IT_number 1
_space_group_name_Hall 'P 1'
loop_
_atom_site_label
_atom_site_fract_x
_atom_site_fract_y
_atom_site_fract_z
K1 0.094 0.607 0.697
K2 0.148 0.160 0.803
K3 0.357 0.344 0.197
K4 0.393 0.090 0.488
K5 0.602 0.906 0.512
K6 0.656 0.852 0.012
K7 0.840 0.643 0.988
K8 0.910 0.398 0.303
Pd1 0.000 0.000 0.000
Pd2 0.250 0.750 0.500
Pd3 0.500 0.500 0.000
Pd4 0.750 0.250 0.500
Se1 0.069 0.519 0.918
Se2 0.121 0.699 0.301
Se3 0.131 0.078 0.326
Se4 0.149 0.731 0.050
Se5 0.159 0.016 0.157
Se6 0.181 0.879 0.579
Se7 0.195 0.869 0.947
Se8 0.239 0.541 0.221
Se9 0.269 0.319 0.418
Se10 0.291 0.489 0.721
Se11 0.301 0.602 0.421
Se12 0.320 0.018 0.779
Se13 0.352 0.551 0.921
Se14 0.398 0.819 0.699
Se15 0.430 0.709 0.198
Se16 0.449 0.371 0.801
Se17 0.459 0.680 0.698
Se18 0.481 0.399 0.550
Se19 0.511 0.232 0.802
Se20 0.555 0.002 0.174
Se21 0.569 0.648 0.199
Se22 0.591 0.247 0.357
Se23 0.601 0.151 0.082
Se24 0.619 0.445 0.447
Se25 0.629 0.431 0.079
Se26 0.681 0.099 0.950
Se27 0.752 0.805 0.674
Se28 0.753 0.109 0.343
Se29 0.766 0.409 0.657
Se30 0.768 0.570 0.279
Se31 0.828 0.381 0.826
Se32 0.849 0.931 0.450
Se33 0.859 0.003 0.843
Se34 0.891 0.234 0.643
Se35 0.901 0.851 0.582
Se36 0.922 0.248 0.053
Se37 0.982 0.761 0.302
Se38 0.984 0.141 0.143
Se39 0.997 0.841 0.857
Se40 0.998 0.172 0.553
# Uncorrected formation energy in meV per atom: -407
# Mass density in g cm⁻³: 3.8
# Final energy in eV/atom: -3.6556
# Size of the total moment in μB per cell: 0.00

---

# 7
# CaYC2 | the Alexandria database | PBE-GGA | relaxed
data_CaYC2
_chemical_formula_sum 'Ca2 Y2 C4'
_cell_length_a 5.771
_cell_length_b 5.771
_cell_length_c 5.771
_cell_angle_alpha 112.07
_cell_angle_beta 112.07
_cell_angle_gamma 104.40
_space_group_name_H-M_alt 'P 1'
_space_group_IT_number 1
_space_group_name_Hall 'P 1'
loop_
_atom_site_label
_atom_site_fract_x
_atom_site_fract_y
_atom_site_fract_z
Ca1 0.000 0.000 0.000
Ca2 0.750 0.250 0.500
Y1 0.250 0.750 0.500
Y2 0.500 0.500 0.000
C1 0.141 0.625 0.016
C2 0.375 0.391 0.516
C3 0.609 0.125 0.984
C4 0.875 0.859 0.484
# N(E_F) in states/eV/cell: 5.182
# Mass density in g cm⁻³: 3.5
# Final energy in eV/atom: -5.8873
# Formation energy from the elements in meV per atom: 841
# Size of the total moment in μB per cell: 2.05

---

# 8
# CaCu2Se | the Alexandria database | PBE-GGA | relaxed
data_CaCu2Se
_chemical_formula_sum 'Ca1 Cu2 Se1'
_cell_length_a 3.756
_cell_length_b 3.756
_cell_length_c 5.462
_cell_angle_alpha 90.00
_cell_angle_beta 90.00
_cell_angle_gamma 90.00
_space_group_name_H-M_alt 'P 1'
_space_group_IT_number 1
_space_group_name_Hall 'P 1'
loop_
_atom_site_label
_atom_site_fract_x
_atom_site_fract_y
_atom_site_fract_z
Ca1 0.000 0.000 0.000
Cu1 0.500 0.500 0.258
Cu2 0.500 0.500 0.742
Se1 0.000 0.000 0.500
# N(E_F) in states/eV/cell: 0.831
# Uncorrected formation energy in meV per atom: -230
# Mass density in g cm⁻³: 5.3
# Final energy in eV/atom: -3.6495
# Size of the total moment in μB per cell: 0.00

---

# 9
# KRbSiF6 | the Alexandria database | PBE-GGA | relaxed
data_KRbSiF6
_chemical_formula_sum 'K1 Rb1 Si1 F6'
_cell_length_a 6.095
_cell_length_b 6.095
_cell_length_c 5.249
_cell_angle_alpha 90.00
_cell_angle_beta 90.00
_cell_angle_gamma 120.00
_space_group_name_H-M_alt 'P 1'
_space_group_IT_number 1
_space_group_name_Hall 'P 1'
loop_
_atom_site_label
_atom_site_fract_x
_atom_site_fract_y
_atom_site_fract_z
K1 0.000 0.000 0.000
Rb1 0.333 0.667 0.500
Si1 0.667 0.333 0.000
F1 0.436 0.101 0.811
F2 0.436 0.335 0.189
F3 0.665 0.101 0.189
F4 0.665 0.564 0.811
F5 0.899 0.335 0.811
F6 0.899 0.564 0.189
# N(E_F) in states/eV/cell: 0.000
# Uncorrected formation energy in meV per atom: -3111
# Mass density in g cm⁻³: 2.6
# Final energy in eV/atom: -5.1901
# Size of the total moment in μB per cell: 0.16

---

# 10
# KLiSc2Hg | the Alexandria database | PBE-GGA | relaxed
data_KLiSc2Hg
_chemical_formula_sum 'K1 Li1 Sc2 Hg1'
_cell_length_a 5.428
_cell_length_b 5.428
_cell_length_c 6.368
_cell_angle_alpha 90.00
_cell_angle_beta 90.00
_cell_angle_gamma 90.00
_space_group_name_H-M_alt 'P 1'
_space_group_IT_number 1
_space_group_name_Hall 'P 1'
loop_
_atom_site_label
_atom_site_fract_x
_atom_site_fract_y
_atom_site_fract_z
K1 0.000 0.000 0.000
Li1 0.500 0.500 0.000
Sc1 0.000 0.500 0.500
Sc2 0.500 0.000 0.500
Hg1 0.000 0.000 0.500
# N(E_F) in states/eV/cell: 5.662
# Mass density in g cm⁻³: 3.0
# Final energy in eV/atom: -2.7245
# Formation energy from the elements in meV per atom: 471
# Size of the total moment in μB per cell: 0.79

---

# 11
# LaMn2Ni | the Alexandria database | PBE-GGA | relaxed
data_LaMn2Ni
_chemical_formula_sum 'La1 Mn2 Ni1'
_cell_length_a 3.135
_cell_length_b 3.135
_cell_length_c 7.073
_cell_angle_alpha 90.00
_cell_angle_beta 90.00
_cell_angle_gamma 90.00
_space_group_name_H-M_alt 'P 1'
_space_group_IT_number 1
_space_group_name_Hall 'P 1'
loop_
_atom_site_label
_atom_site_fract_x
_atom_site_fract_y
_atom_site_fract_z
La1 0.000 0.000 0.000
Mn1 0.000 0.000 0.518
Mn2 0.500 0.500 0.343
Ni1 0.500 0.500 0.702
# N(E_F) in states/eV/cell: 4.862
# Mass density in g cm⁻³: 7.3
# Final energy in eV/atom: -7.1267
# Formation energy from the elements in meV per atom: 135
# Size of the total moment in μB per cell: 0.69